Compound: MnGa2AsO8
Source: Alexandria
Functional: GGA+U
Structure: relaxed

Lattice parameters (Å, degrees): 4.551 4.551 5.894 90.00 90.00 92.51
Atoms (fractional coordinates):
O1 0.185 0.815 0.759
As1 0.000 0.000 0.000
O2 0.301 0.301 0.500
Ga1 0.500 0.500 0.250
O3 0.815 0.185 0.759
Mn1 0.000 0.000 0.500
O4 0.704 0.704 0.000
O5 0.815 0.185 0.241
Ga2 0.500 0.500 0.750
O6 0.296 0.296 0.000
O7 0.185 0.815 0.241
O8 0.699 0.699 0.500

Results
DFT total energy   -6.171 eV/atom